<one>
A plane-wave DFT calculation with PBE was carried out for a relaxed structure of TlCu3Cl8.

magnetization = 2.0 μB/f.u.
calculated volume = 26.0 Å³ per atom

abc: 7.015 7.953 7.345
angles: 118.29 90.00 116.17
Positions (direct):
Tl1 0.000 0.000 0.000
Cu1 0.500 0.000 0.000
Cu2 0.500 0.500 0.000
Cu3 0.000 0.500 0.000
Cl1 0.253 0.506 0.799
Cl2 0.747 0.494 0.201
Cl3 0.264 0.985 0.759
Cl4 0.722 0.985 0.759
Cl5 0.768 0.537 0.796
Cl6 0.232 0.463 0.204
Cl7 0.278 0.015 0.241
Cl8 0.736 0.015 0.241

<two>
A plane-wave DFT calculation with PBE was carried out for a relaxed structure of TlCu3Cl8.

magnetization = 0.0 μB/f.u.
calculated volume = 25.7 Å³ per atom

abc: 6.400 6.400 8.699
angles: 90.00 90.00 120.00
Positions (direct):
Tl1 0.000 0.000 0.500
Cu1 0.667 0.333 0.770
Cu2 0.333 0.667 0.230
Cu3 0.000 0.000 0.000
Cl1 0.692 0.978 0.162
Cl2 0.285 0.308 0.162
Cl3 0.022 0.715 0.162
Cl4 0.308 0.022 0.838
Cl5 0.715 0.692 0.838
Cl6 0.978 0.285 0.838
Cl7 0.667 0.333 0.518
Cl8 0.333 0.667 0.482

Short version: <one> is the most stable of them.

<one>
A plane-wave DFT calculation with PBE was carried out for a relaxed structure of TlCuCl2.

magnetization = 0.0 μB/f.u.
calculated volume = 22.6 Å³ per atom

abc: 5.038 5.038 5.038
angles: 60.00 60.00 60.00
Positions (direct):
Tl1 0.750 0.750 0.750
Cu1 0.500 0.500 0.500
Cl1 0.000 0.000 0.000
Cl2 0.250 0.250 0.250

<two>
A plane-wave DFT calculation with PBE was carried out for a relaxed structure of TlCuCl2.

magnetization = 0.0 μB/f.u.
calculated volume = 39.2 Å³ per atom

abc: 5.016 5.016 7.837
angles: 109.75 109.75 59.70
Positions (direct):
Tl1 0.250 0.250 0.250
Cu1 0.750 0.750 0.750
Cl1 0.844 0.844 0.041
Cl2 0.656 0.656 0.459

<three>
A plane-wave DFT calculation with PBE was carried out for a relaxed structure of TlCuCl2.

magnetization = 0.1 μB/f.u.
calculated volume = 26.9 Å³ per atom

abc: 4.031 4.031 8.281
angles: 90.00 90.00 127.03
Positions (direct):
Tl1 0.500 0.500 0.750
Cu1 0.500 0.500 0.250
Cl1 0.000 0.000 0.059
Cl2 0.000 0.000 0.441

Short version: <two> is the most stable of them.

<one>
A plane-wave DFT calculation with PBE was carried out for a relaxed structure of TlCuCl2.

magnetization = 0.0 μB/f.u.
calculated volume = 29.5 Å³ per atom

abc: 3.983 4.960 6.486
angles: 67.14 90.00 90.00
Positions (direct):
Tl1 0.500 0.664 0.799
Cu1 0.000 0.311 0.502
Cl1 0.000 0.125 0.877
Cl2 0.500 0.401 0.322

<two>
A plane-wave DFT calculation with PBE was carried out for a relaxed structure of TlCuCl2.

magnetization = 0.0 μB/f.u.
calculated volume = 27.0 Å³ per atom

abc: 7.142 7.142 7.142
angles: 146.95 146.95 47.44
Positions (direct):
Tl1 0.750 0.250 0.500
Cu1 0.500 0.500 0.000
Cl1 0.000 0.000 0.000
Cl2 0.250 0.750 0.500

Short version: <one> is the most stable of them.

<one>
A plane-wave DFT calculation with PBE was carried out for a relaxed structure of Tl2CuCl.

magnetization = 0.0 μB/f.u.
calculated volume = 26.5 Å³ per atom

abc: 4.091 4.091 7.685
angles: 74.86 74.86 59.89
Positions (direct):
Tl1 0.986 0.986 0.038
Tl2 0.514 0.514 0.462
Cu1 0.250 0.250 0.250
Cl1 0.750 0.750 0.750

<two>
A plane-wave DFT calculation with PBE was carried out for a relaxed structure of Tl2CuCl.

magnetization = 0.0 μB/f.u.
calculated volume = 35.8 Å³ per atom

abc: 6.524 6.524 8.164
angles: 66.45 66.45 90.00
Positions (direct):
Tl1 0.676 0.125 0.250
Tl2 0.074 0.625 0.250
Tl3 0.375 0.324 0.750
Tl4 0.875 0.926 0.750
Cu1 0.000 0.000 0.000
Cu2 0.750 0.250 0.500
Cl1 0.500 0.500 0.000
Cl2 0.250 0.750 0.500

Short version: <one> is the most stable of them.

<one>
A plane-wave DFT calculation with PBE was carried out for a relaxed structure of Tl2CuCl.

magnetization = 0.0 μB/f.u.
calculated volume = 25.1 Å³ per atom

abc: 6.148 6.148 6.148
angles: 147.48 125.75 64.69
Positions (direct):
Tl1 0.955 0.955 0.000
Tl2 0.251 0.751 0.500
Cu1 0.731 0.231 0.500
Cl1 0.564 0.564 0.000

<two>
A plane-wave DFT calculation with PBE was carried out for a relaxed structure of Tl2CuCl.

magnetization = 0.0 μB/f.u.
calculated volume = 26.1 Å³ per atom

abc: 5.289 5.289 5.289
angles: 60.00 60.00 60.00
Positions (direct):
Tl1 0.250 0.250 0.250
Tl2 0.750 0.750 0.750
Cu1 0.500 0.500 0.500
Cl1 0.000 0.000 0.000

<three>
A plane-wave DFT calculation with PBE was carried out for a relaxed structure of Tl2CuCl.

magnetization = 0.0 μB/f.u.
calculated volume = 26.2 Å³ per atom

abc: 5.292 5.292 5.292
angles: 60.00 60.00 60.00
Positions (direct):
Tl1 0.000 0.000 0.000
Tl2 0.250 0.250 0.250
Cu1 0.750 0.750 0.750
Cl1 0.500 0.500 0.500

Short version: <one> is the most stable of them.

<one>
A plane-wave DFT calculation with PBE was carried out for a relaxed structure of Tl2CuCl.

magnetization = 0.0 μB/f.u.
calculated volume = 27.7 Å³ per atom

abc: 6.059 4.100 4.458
angles: 89.99 90.00 90.00
Positions (direct):
Tl1 0.000 0.875 0.876
Tl2 0.500 0.374 0.374
Cu1 0.500 0.877 0.873
Cl1 0.000 0.375 0.376

<two>
A plane-wave DFT calculation with PBE was carried out for a relaxed structure of Tl2CuCl.

magnetization = 0.0 μB/f.u.
calculated volume = 28.2 Å³ per atom

abc: 7.394 7.394 4.268
angles: 89.82 89.82 28.92
Positions (direct):
Tl1 0.947 0.947 0.123
Tl2 0.746 0.746 0.628
Cu1 0.266 0.266 0.128
Cl1 0.541 0.541 0.621

Short version: <one> is the most stable of them.

<one>
A plane-wave DFT calculation with PBE was carried out for a relaxed structure of TlCu2Cl4.

magnetization = 1.0 μB/f.u.
calculated volume = 30.1 Å³ per atom

abc: 5.326 5.326 7.439
angles: 90.00 90.00 90.00
Positions (direct):
Tl1 0.000 0.000 0.000
Cu1 0.500 0.000 0.500
Cu2 0.000 0.500 0.500
Cl1 0.741 0.259 0.678
Cl2 0.259 0.259 0.322
Cl3 0.259 0.741 0.678
Cl4 0.741 0.741 0.322

<two>
A plane-wave DFT calculation with PBE was carried out for a relaxed structure of TlCu2Cl4.

magnetization = 1.0 μB/f.u.
calculated volume = 28.6 Å³ per atom

abc: 8.339 6.863 9.752
angles: 74.82 64.46 52.55
Positions (direct):
Tl1 0.749 0.502 0.500
Tl2 0.001 0.998 0.000
Cu1 0.875 0.750 0.750
Cu2 0.375 0.250 0.250
Cu3 0.375 0.750 0.250
Cu4 0.375 0.250 0.750
Cl1 0.596 0.338 0.284
Cl2 0.154 0.161 0.216
Cl3 0.219 0.662 0.715
Cl4 0.065 0.339 0.716
Cl5 0.119 0.661 0.285
Cl6 0.530 0.839 0.785
Cl7 0.684 0.162 0.784
Cl8 0.631 0.838 0.215

Short version: <one> is the most stable of them.

<one>
A plane-wave DFT calculation with PBE was carried out for a relaxed structure of Tl2CuCl5.

magnetization = 0.9 μB/f.u.
calculated volume = 29.0 Å³ per atom

abc: 4.919 6.867 6.867
angles: 90.00 90.00 90.00
Positions (direct):
Tl1 0.500 0.500 0.000
Tl2 0.500 0.000 0.500
Cu1 0.000 0.000 0.000
Cl1 0.000 0.762 0.762
Cl2 0.000 0.238 0.762
Cl3 0.000 0.762 0.238
Cl4 0.500 0.000 0.000
Cl5 0.000 0.238 0.238

<two>
A plane-wave DFT calculation with PBE was carried out for a relaxed structure of Tl2CuCl5.

magnetization = 0.0 μB/f.u.
calculated volume = 29.3 Å³ per atom

abc: 6.828 6.828 6.828
angles: 95.46 116.90 116.90
Positions (direct):
Tl1 0.500 0.250 0.750
Tl2 0.500 0.750 0.250
Cu1 0.000 0.011 0.011
Cl1 0.561 0.761 0.761
Cl2 0.000 0.761 0.199
Cl3 0.000 0.199 0.761
Cl4 0.439 0.199 0.199
Cl5 0.000 0.292 0.292

Short version: <two> is the most stable of them.

<one>
A plane-wave DFT calculation with PBE was carried out for a relaxed structure of Tl2Cu2Cl7.

magnetization = 0.0 μB/f.u.
calculated volume = 30.5 Å³ per atom

abc: 6.510 7.387 7.387
angles: 104.13 97.92 97.92
Positions (direct):
Tl1 0.000 0.306 0.694
Tl2 0.000 0.694 0.306
Cu1 0.409 0.226 0.226
Cu2 0.591 0.774 0.774
Cl1 0.787 0.917 0.600
Cl2 0.213 0.400 0.083
Cl3 0.213 0.083 0.400
Cl4 0.787 0.600 0.917
Cl5 0.500 0.000 0.000
Cl6 0.272 0.615 0.615
Cl7 0.728 0.385 0.385

<two>
A plane-wave DFT calculation with PBE was carried out for a relaxed structure of Tl2Cu2Cl7.

magnetization = 0.0 μB/f.u.
calculated volume = 29.6 Å³ per atom

abc: 8.858 8.858 4.823
angles: 81.14 81.14 115.95
Positions (direct):
Tl1 0.305 0.695 0.500
Tl2 0.695 0.305 0.500
Cu1 0.214 0.214 0.141
Cu2 0.786 0.786 0.859
Cl1 0.085 0.377 0.110
Cl2 0.623 0.915 0.890
Cl3 0.915 0.623 0.890
Cl4 0.377 0.085 0.110
Cl5 0.620 0.620 0.609
Cl6 0.000 0.000 0.000
Cl7 0.380 0.380 0.391

Short version: <two> is the most stable of them.

<one>
A plane-wave DFT calculation with PBE was carried out for a relaxed structure of TmCuCl4.

magnetization = 0.2 μB/f.u.
calculated volume = 30.2 Å³ per atom

abc: 6.729 7.260 8.979
angles: 104.60 102.15 113.96
Positions (direct):
Tm1 0.814 0.064 0.129
Tm2 0.186 0.936 0.871
Cu1 0.424 0.674 0.347
Cu2 0.576 0.326 0.653
Cl1 0.299 0.030 0.629
Cl2 0.020 0.826 0.095
Cl3 0.170 0.401 0.371
Cl4 0.425 0.731 0.905
Cl5 0.701 0.970 0.371
Cl6 0.830 0.599 0.629
Cl7 0.980 0.174 0.905
Cl8 0.575 0.269 0.095

<two>
A plane-wave DFT calculation with PBE was carried out for a relaxed structure of TmCuCl4.

magnetization = 0.0 μB/f.u.
calculated volume = 28.1 Å³ per atom

abc: 6.408 6.311 8.337
angles: 90.00 90.00 90.00
Positions (direct):
Tm1 0.000 0.500 0.000
Tm2 0.000 0.000 0.500
Cu1 0.000 0.000 0.000
Cu2 0.500 0.000 0.500
Cl1 0.215 0.232 0.146
Cl2 0.215 0.768 0.854
Cl3 0.785 0.232 0.854
Cl4 0.785 0.768 0.146
Cl5 0.732 0.235 0.371
Cl6 0.732 0.765 0.629
Cl7 0.268 0.235 0.629
Cl8 0.268 0.765 0.371

Short version: <one> is the most stable of them.

<one>
A plane-wave DFT calculation with PBE was carried out for a relaxed structure of UCuCl6.

magnetization = 1.0 μB/f.u.
calculated volume = 30.0 Å³ per atom

abc: 6.564 7.070 6.964
angles: 104.67 101.38 122.67
Positions (direct):
U1 0.000 0.500 0.000
Cu1 0.000 0.000 0.000
Cl1 0.855 0.091 0.712
Cl2 0.143 0.380 0.288
Cl3 0.857 0.620 0.712
Cl4 0.145 0.909 0.288
Cl5 0.454 0.726 0.000
Cl6 0.546 0.274 0.000

<two>
A plane-wave DFT calculation with PBE was carried out for a relaxed structure of UCuCl6.

magnetization = 1.0 μB/f.u.
calculated volume = 27.5 Å³ per atom

abc: 6.596 6.597 6.970
angles: 61.75 61.71 60.06
Positions (direct):
U1 0.000 0.000 0.000
Cu1 0.500 0.500 0.500
Cl1 0.130 0.375 0.747
Cl2 0.749 0.129 0.747
Cl3 0.625 0.251 0.253
Cl4 0.251 0.871 0.253
Cl5 0.870 0.625 0.253
Cl6 0.375 0.749 0.747

Short version: <one> is the most stable of them.

<one>
A plane-wave DFT calculation with PBE was carried out for a relaxed structure of VCu2Cl.

magnetization = 3.0 μB/f.u.
calculated volume = 15.7 Å³ per atom

abc: 4.464 4.464 4.464
angles: 60.00 60.00 60.00
Positions (direct):
V1 0.500 0.500 0.500
Cu1 0.250 0.250 0.250
Cu2 0.750 0.750 0.750
Cl1 0.000 0.000 0.000

<two>
A plane-wave DFT calculation with PBE was carried out for a relaxed structure of VCu2Cl.

magnetization = 2.2 μB/f.u.
calculated volume = 15.5 Å³ per atom

abc: 7.197 7.197 5.624
angles: 50.22 50.22 90.00
Positions (direct):
V1 0.000 0.000 0.000
V2 0.750 0.250 0.500
Cu1 0.608 0.125 0.250
Cu2 0.142 0.625 0.250
Cu3 0.375 0.392 0.750
Cu4 0.875 0.858 0.750
Cl1 0.500 0.500 0.000
Cl2 0.250 0.750 0.500

Short version: <two> is the most stable of them.